{
  "formula": "Li3Rh",
  "functional": "GGA-PBEsol",
  "state": "relaxed",
  "lattice": [[-1.3146, 4.3711, 2.3730], [1.3146, -4.3711, 2.3730], [1.3146, 4.3711, -2.3730]],
  "species": ["Li", "Li", "Li", "Rh"],
  "frac_coords": [[0.0000, 0.0000, 0.0000], [0.0762, 0.3184, 0.7578], [0.5607, 0.3184, 0.2422], [0.5054, 0.0054, 0.5000]],
  "e_form_kj_per_mol_atoms": -3.18,
  "sg": "No. 44",
  "mass_density_g_cm3": 3.77,
  "dft_energy_ev_per_atom": -3.543
}

=====

{
  "formula": "CaPb2",
  "functional": "GGA-PBEsol",
  "state": "relaxed",
  "lattice": [[5.4798, 0.0000, 0.0000], [-2.7399, 4.7456, 0.0000], [0.0000, 0.0000, 3.4361]],
  "species": ["Ca", "Pb", "Pb"],
  "frac_coords": [[0.0000, 0.0000, 0.0000], [0.3333, 0.6667, 0.5000], [0.6667, 0.3333, 0.5000]],
  "e_form_kj_per_mol_atoms": -31.13,
  "sg": "No. 191",
  "mass_density_g_cm3": 8.45,
  "dft_energy_ev_per_atom": -3.699
}

=====

{
  "formula": "CaTcSe2",
  "functional": "GGA-PBEsol",
  "state": "relaxed",
  "lattice": [[1.9899, 1.1489, 5.7026], [-1.9899, 1.1489, 5.7026], [0.0000, -2.2978, 5.7026]],
  "species": ["Ca", "Tc", "Se", "Se"],
  "frac_coords": [[0.0000, 0.0000, 0.0000], [0.5000, 0.5000, 0.5000], [0.2318, 0.2318, 0.2318], [0.7682, 0.7682, 0.7682]],
  "sg": "No. 166",
  "mass_density_g_cm3": 6.28,
  "raw_formation_energy_mev_per_atom": -788,
  "dft_energy_ev_per_atom": -6.063
}

=====

{
  "formula": "BeSiPt2",
  "functional": "GGA-PBEsol",
  "state": "relaxed",
  "lattice": [[3.7359, 0.0000, 0.0000], [0.0000, 3.7359, 0.0000], [0.0000, 0.0000, 3.7960]],
  "species": ["Be", "Si", "Pt", "Pt"],
  "frac_coords": [[0.0000, 0.0000, 0.0000], [0.5000, 0.5000, 0.0000], [0.0000, 0.5000, 0.6150], [0.5000, 0.0000, 0.3850]],
  "sg": "No. 115",
  "mass_density_g_cm3": 13.39,
  "raw_formation_energy_mev_per_atom": -661,
  "dft_energy_ev_per_atom": -6.579
}

=====

{
  "formula": "SrReN2O",
  "functional": "GGA-PBEsol",
  "state": "relaxed",
  "lattice": [[3.9091, 0.0000, 0.0000], [0.0000, 3.9091, 0.0000], [0.0000, 0.0000, 3.9744]],
  "species": ["Sr", "Re", "N", "N", "O"],
  "frac_coords": [[0.0000, 0.0000, 0.0000], [0.5000, 0.5000, 0.5000], [0.0000, 0.5000, 0.5000], [0.5000, 0.0000, 0.5000], [0.5000, 0.5000, 0.0000]],
  "sg": "No. 123",
  "mass_density_g_cm3": 8.69,
  "raw_formation_energy_mev_per_atom": -1134,
  "dft_energy_ev_per_atom": -8.629
}

=====

{
  "formula": "Sc2AuCl",
  "functional": "GGA-PBEsol",
  "state": "relaxed",
  "lattice": [[3.7830, 0.0000, 0.0000], [0.0000, 3.7830, 0.0000], [0.0000, 0.0000, 5.5197]],
  "species": ["Sc", "Sc", "Au", "Cl"],
  "frac_coords": [[0.0000, 0.0000, 0.0000], [0.5000, 0.5000, 0.5000], [0.0000, 0.0000, 0.5000], [0.5000, 0.5000, 0.0000]],
  "sg": "No. 123",
  "mass_density_g_cm3": 6.78,
  "raw_formation_energy_mev_per_atom": -951,
  "dft_energy_ev_per_atom": -5.736
}